## P
DFT (PBE) results for a relaxed structure of Pr2Cd3In2.

Computed properties:
total magnetization = 0.0 μB/cell

Geometry as CIF:
```
data_Pr2Cd3In2
_chemical_formula_sum 'Pr4 Cd6 In4'
_cell_length_a 4.751
_cell_length_b 22.558
_cell_length_c 3.555
_cell_angle_alpha 90.00
_cell_angle_beta 90.00
_cell_angle_gamma 90.00
_symmetry_space_group_name_H-M 'C m m m'
_symmetry_Int_Tables_number 65
_symmetry_space_group_name_Hall '-C 2 2'
loop_
_atom_site_label
_atom_site_type_symbol
_atom_site_fract_x
_atom_site_fract_y
_atom_site_fract_z
_atom_site_occupancy
Pr1 Pr 0.000 0.151 0.000 1
Cd1 Cd 0.000 0.000 0.000 1
Cd2 Cd 0.000 0.433 0.500 1
In1 In 0.000 0.287 0.500 1
```

=====

## Q
DFT (PBE) results for a relaxed structure of Pr2Cd3In2.

Computed properties:
total magnetization = 0.0 μB/cell

Geometry as CIF:
```
data_Pr2Cd3In2
_chemical_formula_sum 'Pr4 Cd6 In4'
_cell_length_a 11.479
_cell_length_b 4.834
_cell_length_c 7.241
_cell_angle_alpha 90.00
_cell_angle_beta 111.57
_cell_angle_gamma 90.00
_symmetry_space_group_name_H-M 'C 1 2/m 1'
_symmetry_Int_Tables_number 12
loop_
_symmetry_equiv_pos_as_xyz
'x,y,z'
'-x,-y,-z'
'-x,y,-z'
'x,-y,z'
'x+1/2,y+1/2,z'
'-x+1/2,-y+1/2,-z'
'-x+1/2,y+1/2,-z'
'x+1/2,-y+1/2,z'
loop_
_atom_site_label
_atom_site_type_symbol
_atom_site_fract_x
_atom_site_fract_y
_atom_site_fract_z
_atom_site_occupancy
Pr1 Pr 0.151 0.000 0.265 1
Cd1 Cd 0.000 0.500 0.500 1
Cd2 Cd 0.098 0.500 0.929 1
In1 In 0.150 0.000 0.737 1
```

=====

Which structure wins on stability? Q wins.

=====

## P
DFT (PBE) results for a relaxed structure of PrCdIn2.

Computed properties:
total magnetization = 0.0 μB/cell

Geometry as CIF:
```
data_PrCdIn2
_chemical_formula_sum 'Pr4 Cd4 In8'
_cell_length_a 7.527
_cell_length_b 7.527
_cell_length_c 7.527
_cell_angle_alpha 90.00
_cell_angle_beta 90.00
_cell_angle_gamma 90.00
_symmetry_space_group_name_H-M 'F m -3 m'
_symmetry_Int_Tables_number 225
_symmetry_space_group_name_Hall '-F 4 2 3'
loop_
_atom_site_label
_atom_site_type_symbol
_atom_site_fract_x
_atom_site_fract_y
_atom_site_fract_z
_atom_site_occupancy
Pr1 Pr 0.000 0.000 0.000 1
Cd1 Cd 0.000 0.000 0.500 1
In1 In 0.250 0.250 0.250 1
```

=====

## Q
DFT (PBE) results for a relaxed structure of PrCdIn2.

Computed properties:
total magnetization = 0.0 μB/cell

Geometry as CIF:
```
data_PrCdIn2
_chemical_formula_sum 'Pr1 Cd1 In2'
_cell_length_a 4.733
_cell_length_b 4.733
_cell_length_c 4.670
_cell_angle_alpha 90.00
_cell_angle_beta 90.00
_cell_angle_gamma 90.00
_symmetry_space_group_name_H-M 'P 4/m m m'
_symmetry_Int_Tables_number 123
_symmetry_space_group_name_Hall '-P 4 2'
loop_
_atom_site_label
_atom_site_type_symbol
_atom_site_fract_x
_atom_site_fract_y
_atom_site_fract_z
_atom_site_occupancy
Pr1 Pr 0.000 0.000 0.000 1
Cd1 Cd 0.500 0.500 0.000 1
In1 In 0.000 0.500 0.500 1
```

=====

## R
DFT (PBE) results for a relaxed structure of PrCdIn2.

Computed properties:
total magnetization = 0.0 μB/cell

Geometry as CIF:
```
data_PrCdIn2
_chemical_formula_sum 'Pr1 Cd1 In2'
_cell_length_a 3.757
_cell_length_b 3.757
_cell_length_c 7.580
_cell_angle_alpha 90.00
_cell_angle_beta 90.00
_cell_angle_gamma 90.00
_symmetry_space_group_name_H-M 'P 4/m m m'
_symmetry_Int_Tables_number 123
_symmetry_space_group_name_Hall '-P 4 2'
loop_
_atom_site_label
_atom_site_type_symbol
_atom_site_fract_x
_atom_site_fract_y
_atom_site_fract_z
_atom_site_occupancy
Pr1 Pr 0.000 0.000 0.000 1
Cd1 Cd 0.000 0.000 0.500 1
In1 In 0.500 0.500 0.282 1
```

=====

Which structure wins on stability? Q wins.

=====

## P
DFT (PBE) results for a relaxed structure of PrCd2In.

Computed properties:
total magnetization = 0.0 μB/cell

Geometry as CIF:
```
data_PrCd2In
_chemical_formula_sum 'Pr1 Cd2 In1'
_cell_length_a 4.631
_cell_length_b 4.631
_cell_length_c 4.895
_cell_angle_alpha 90.00
_cell_angle_beta 90.00
_cell_angle_gamma 90.00
_symmetry_space_group_name_H-M 'P 4/m m m'
_symmetry_Int_Tables_number 123
_symmetry_space_group_name_Hall '-P 4 2'
loop_
_atom_site_label
_atom_site_type_symbol
_atom_site_fract_x
_atom_site_fract_y
_atom_site_fract_z
_atom_site_occupancy
Pr1 Pr 0.000 0.000 0.000 1
Cd1 Cd 0.000 0.500 0.500 1
In1 In 0.500 0.500 0.000 1
```

=====

## Q
DFT (PBE) results for a relaxed structure of PrCd2In.

Computed properties:
total magnetization = 0.0 μB/cell

Geometry as CIF:
```
data_PrCd2In
_chemical_formula_sum 'Pr2 Cd4 In2'
_cell_length_a 6.009
_cell_length_b 10.746
_cell_length_c 3.323
_cell_angle_alpha 90.00
_cell_angle_beta 90.00
_cell_angle_gamma 90.00
_symmetry_space_group_name_H-M 'C m m m'
_symmetry_Int_Tables_number 65
_symmetry_space_group_name_Hall '-C 2 2'
loop_
_atom_site_label
_atom_site_type_symbol
_atom_site_fract_x
_atom_site_fract_y
_atom_site_fract_z
_atom_site_occupancy
Pr1 Pr 0.000 0.000 0.000 1
Cd1 Cd 0.250 0.250 0.500 1
In1 In 0.000 0.500 0.500 1
```

=====

Which structure wins on stability? P wins.

=====

## P
DFT (PBE) results for a relaxed structure of PrCd2In.

Computed properties:
total magnetization = 0.0 μB/cell

Geometry as CIF:
```
data_PrCd2In
_chemical_formula_sum 'Pr4 Cd8 In4'
_cell_length_a 7.423
_cell_length_b 7.423
_cell_length_c 7.423
_cell_angle_alpha 90.00
_cell_angle_beta 90.00
_cell_angle_gamma 90.00
_symmetry_space_group_name_H-M 'F m -3 m'
_symmetry_Int_Tables_number 225
_symmetry_space_group_name_Hall '-F 4 2 3'
loop_
_atom_site_label
_atom_site_type_symbol
_atom_site_fract_x
_atom_site_fract_y
_atom_site_fract_z
_atom_site_occupancy
Pr1 Pr 0.000 0.000 0.000 1
Cd1 Cd 0.250 0.250 0.250 1
In1 In 0.000 0.000 0.500 1
```

=====

## Q
DFT (PBE) results for a relaxed structure of PrCd2In.

Computed properties:
total magnetization = 0.0 μB/cell

Geometry as CIF:
```
data_PrCd2In
_chemical_formula_sum 'Pr8 Cd16 In8'
_cell_length_a 4.666
_cell_length_b 18.044
_cell_length_c 10.100
_cell_angle_alpha 90.00
_cell_angle_beta 90.00
_cell_angle_gamma 90.00
_symmetry_space_group_name_H-M 'C m c m'
_symmetry_Int_Tables_number 63
_symmetry_space_group_name_Hall '-C 2c 2'
loop_
_atom_site_label
_atom_site_type_symbol
_atom_site_fract_x
_atom_site_fract_y
_atom_site_fract_z
_atom_site_occupancy
Pr1 Pr 0.000 0.000 0.000 1
Pr2 Pr 0.000 0.197 0.250 1
Cd1 Cd 0.000 0.194 0.605 1
Cd2 Cd 0.000 0.392 0.250 1
Cd3 Cd 0.000 0.456 0.750 1
In1 In 0.000 0.359 0.532 1
```

=====

Which structure wins on stability? Q wins.

=====

## P
DFT (PBE) results for a relaxed structure of Pr4CdIn2.

Computed properties:
total magnetization = 0.0 μB/cell

Geometry as CIF:
```
data_Pr4CdIn2
_chemical_formula_sum 'Pr8 Cd2 In4'
_cell_length_a 7.638
_cell_length_b 6.707
_cell_length_c 9.291
_cell_angle_alpha 90.00
_cell_angle_beta 110.01
_cell_angle_gamma 90.00
_symmetry_space_group_name_H-M 'P 1 21/m 1'
_symmetry_Int_Tables_number 11
loop_
_symmetry_equiv_pos_as_xyz
'x,y,z'
'-x,-y,-z'
'-x,y+1/2,-z'
'x,-y+1/2,z'
loop_
_atom_site_label
_atom_site_type_symbol
_atom_site_fract_x
_atom_site_fract_y
_atom_site_fract_z
_atom_site_occupancy
Pr1 Pr 0.087 0.250 0.048 1
Pr2 Pr 0.162 0.007 0.720 1
Pr3 Pr 0.325 0.750 0.337 1
Cd1 Cd 0.499 0.750 0.710 1
In1 In 0.228 0.250 0.436 1
In2 In 0.449 0.750 0.030 1
```

=====

## Q
DFT (PBE) results for a relaxed structure of Pr4CdIn2.

Computed properties:
total magnetization = 0.0 μB/cell

Geometry as CIF:
```
data_Pr4CdIn2
_chemical_formula_sum 'Pr12 Cd3 In6'
_cell_length_a 5.4601
_cell_length_b 5.4601
_cell_length_c 26.2152
_cell_angle_alpha 90.00
_cell_angle_beta 90.00
_cell_angle_gamma 120.00
_symmetry_space_group_name_H-M 'R -3 m'
_symmetry_Int_Tables_number 166
_symmetry_space_group_name_Hall '-R 3 2"'
loop_
_atom_site_label
_atom_site_type_symbol
_atom_site_fract_x
_atom_site_fract_y
_atom_site_fract_z
_atom_site_occupancy
Pr1 Pr 0.0000 0.0000 0.1181 1
Pr2 Pr 0.0000 0.0000 0.3705 1
Cd1 Cd 0.0000 0.0000 0.5000 1
In1 In 0.0000 0.0000 0.2460 1
```

=====

Which structure wins on stability? Q wins.

=====

## P
DFT (PBE) results for a relaxed structure of Pr2Cd2In.

Computed properties:
total magnetization = 0.0 μB/cell

Geometry as CIF:
```
data_Pr2Cd2In
_chemical_formula_sum 'Pr8 Cd8 In4'
_cell_length_a 11.473
_cell_length_b 5.071
_cell_length_c 10.228
_cell_angle_alpha 90.00
_cell_angle_beta 109.66
_cell_angle_gamma 90.00
_symmetry_space_group_name_H-M 'C 1 2/m 1'
_symmetry_Int_Tables_number 12
loop_
_symmetry_equiv_pos_as_xyz
'x,y,z'
'-x,-y,-z'
'-x,y,-z'
'x,-y,z'
'x+1/2,y+1/2,z'
'-x+1/2,-y+1/2,-z'
'-x+1/2,y+1/2,-z'
'x+1/2,-y+1/2,z'
loop_
_atom_site_label
_atom_site_type_symbol
_atom_site_fract_x
_atom_site_fract_y
_atom_site_fract_z
_atom_site_occupancy
Pr1 Pr 0.055 0.000 0.351 1
Pr2 Pr 0.176 0.000 0.066 1
Cd1 Cd 0.017 0.500 0.865 1
Cd2 Cd 0.130 0.500 0.586 1
In1 In 0.246 0.500 0.302 1
```

=====

## Q
DFT (PBE) results for a relaxed structure of Pr2Cd2In.

Computed properties:
total magnetization = 0.0 μB/cell

Geometry as CIF:
```
data_Pr2Cd2In
_chemical_formula_sum 'Pr4 Cd4 In2'
_cell_length_a 10.524
_cell_length_b 4.800
_cell_length_c 6.145
_cell_angle_alpha 90.00
_cell_angle_beta 100.42
_cell_angle_gamma 90.00
_symmetry_space_group_name_H-M 'C 1 2/m 1'
_symmetry_Int_Tables_number 12
loop_
_symmetry_equiv_pos_as_xyz
'x,y,z'
'-x,-y,-z'
'-x,y,-z'
'x,-y,z'
'x+1/2,y+1/2,z'
'-x+1/2,-y+1/2,-z'
'-x+1/2,y+1/2,-z'
'x+1/2,-y+1/2,z'
loop_
_atom_site_label
_atom_site_type_symbol
_atom_site_fract_x
_atom_site_fract_y
_atom_site_fract_z
_atom_site_occupancy
Pr1 Pr 0.217 0.000 0.237 1
Cd1 Cd 0.083 0.000 0.711 1
In1 In 0.000 0.500 0.000 1
```

=====

Which structure wins on stability? P wins.